(1)
HfTiVGa: relaxed, PBE.

Output
energy of formation	-0.39	eV/f.u.
DOS(E_F)	1.029	states/eV per atom
mass density	8.44	g/cm³

Unit cell a=2.9608 b=4.9466 c=5.3512 alpha=114.12 beta=104.24 gamma=93.23
Last column: nearest neighbours and their distance in Å.
Space group P1 (No. 1)
Asymmetric unit:
1 Hf 0.0000 0.0000 0.0000 x1  3 V 2.76-2.89, 3 Ga 2.81-2.83, 2 Ti 2.91-2.92, 2 Hf 2.96
2 Ti 0.8681 0.3911 0.5471 x1  3 V 2.72-2.92, 3 Ga 2.78-2.89, 2 Hf 2.91-2.92, 2 Ti 2.96
3 V 0.3130 0.9065 0.5045 x1  3 Ti 2.72-2.92, 2 Ga 2.75-2.77, 3 Hf 2.76-2.89, 2 V 2.96
4 Ga 0.5684 0.5052 0.0488 x1  3 V 2.75-3.07, 3 Ti 2.78-2.89, 3 Hf 2.81-2.83, 2 Ga 2.96

---

(2)
HfTiVGa: relaxed, PBE.

Output
energy of formation	-0.75	eV/f.u.
DOS(E_F)	1.033	states/eV per atom
mass density	8.56	g/cm³

Unit cell a=3.7315 b=4.2140 c=4.2800 alpha=90.00 beta=90.00 gamma=90.00
Last column: nearest neighbours and their distance in Å.
Space group Pmmm (No. 47)
Asymmetric unit:
1 Hf 0.0000 0.0000 0.0000 x1  4 V 2.81, 4 Ga 2.84, 4 Ti 3.00
2 Ti 0.0000 0.5000 0.5000 x1  4 Ga 2.81, 4 V 2.84, 4 Hf 3.00
3 V 0.5000 0.5000 0.0000 x1  4 Hf 2.81, 4 Ti 2.84, 4 Ga 3.00
4 Ga 0.5000 0.0000 0.5000 x1  4 Ti 2.81, 4 Hf 2.84, 4 V 3.00

---

(3)
HfTiVGa: relaxed, PBE.

Output
energy of formation	-0.59	eV/f.u.
DOS(E_F)	0.888	states/eV per atom
mass density	8.52	g/cm³

Unit cell a=3.9373 b=3.9373 c=8.7244 alpha=90.00 beta=90.00 gamma=90.00
Last column: nearest neighbours and their distance in Å.
Space group I-4m2 (No. 119)
Asymmetric unit:
1 Hf 0.0000 0.0000 0.0000 x2  4 Ga 2.78, 4 V 2.94, 4 Ti 2.94
2 Ti 0.0000 0.5000 0.7500 x2  4 V 2.78, 4 Hf 2.94, 4 Ga 2.94
3 V 0.0000 0.5000 0.2500 x2  4 Ti 2.78, 4 Hf 2.94, 4 Ga 2.94
4 Ga 0.0000 0.0000 0.5000 x2  4 Hf 2.78, 4 Ti 2.94, 4 V 2.94

---

(4)
HfTiVGa: relaxed, PBE.

Output
energy of formation	-0.36	eV/f.u.
DOS(E_F)	1.130	states/eV per atom
mass density	8.43	g/cm³

Unit cell a=10.6628 b=3.0134 c=4.7395 alpha=90.00 beta=116.10 gamma=90.00
Last column: nearest neighbours and their distance in Å.
Space group Cm (No. 8)
Asymmetric unit:
1 Hf 0.0000 0.0000 0.0000 x2  4 V 2.80-2.81, 2 Ga 2.93, 2 Hf 3.01, 2 Ti 3.04
2 Ti 0.2244 0.0000 0.7318 x2  2 V 2.70, 4 Ga 2.82-2.84, 2 Ti 3.01
3 V 0.4909 0.0000 0.4898 x2  2 Ga 2.66, 2 Ti 2.70, 4 Hf 2.80-2.81
4 Ga 0.2625 0.5000 0.2716 x2  2 V 2.66, 4 Ti 2.82-2.84, 2 Hf 2.93

---

(5)
HfTi2VGa: relaxed, PBE.

Output
energy of formation	7.16	eV/f.u.
DOS(E_F)	1.856	states/eV per atom
mass density	5.97	g/cm³

Unit cell a=4.6705 b=4.6705 c=5.0321 alpha=90.00 beta=90.00 gamma=90.00
Last column: nearest neighbours and their distance in Å.
Space group P4/mmm (No. 123)
Asymmetric unit:
1 Hf 0.0000 0.0000 0.0000 x1  4 Ti 2.34, 2 Ga 2.52
2 Ti 0.0000 0.5000 0.0000 x2  2 Hf 2.34
3 V 0.5000 0.5000 0.5000 x1  4 Ga 3.30, 8 Ti 3.43
4 Ga 0.0000 0.0000 0.5000 x1  2 Hf 2.52

---

(6)
HfTiVGa: relaxed, PBE.

Output
energy of formation	-0.51	eV/f.u.
DOS(E_F)	1.383	states/eV per atom
mass density	8.53	g/cm³

Unit cell a=3.2893 b=3.2893 c=6.2404 alpha=90.00 beta=90.00 gamma=90.00
Last column: nearest neighbours and their distance in Å.
Space group P4mm (No. 99)
Asymmetric unit:
1 Hf 0.0000 0.0000 0.0000 x1  4 Ga 2.91, 4 Ti 2.92, 2 V 3.12-3.13
2 Ti 0.5000 0.5000 0.7175 x1  4 V 2.69, 1 Ga 2.72, 4 Hf 2.92
3 V 0.0000 0.0000 0.5008 x1  4 Ti 2.69, 4 Ga 2.70
4 Ga 0.5000 0.5000 0.2808 x1  4 V 2.70, 1 Ti 2.72, 4 Hf 2.91

---

(7)
HfTiVGa: relaxed, PBE.

Output
energy of formation	-0.65	eV/f.u.
DOS(E_F)	0.920	states/eV per atom
mass density	8.56	g/cm³

Unit cell a=3.9387 b=3.9521 c=8.6449 alpha=90.00 beta=90.00 gamma=90.00
Last column: nearest neighbours and their distance in Å.
Space group Imm2 (No. 44)
Asymmetric unit:
1 Hf 0.0000 0.0000 0.0000 x2  4 V 2.79, 4 Ga 2.92-2.93, 4 Ti 2.93
2 Ti 0.0000 0.5000 0.7502 x2  4 Ga 2.79, 4 V 2.92-2.93, 4 Hf 2.93
3 V 0.0000 0.0000 0.5003 x2  4 Hf 2.79, 4 Ga 2.92-2.93, 4 Ti 2.92-2.93
4 Ga 0.0000 0.5000 0.2499 x2  4 Ti 2.79, 4 V 2.92-2.93, 4 Hf 2.92-2.93

---

(8)
HfTiVGa: relaxed, PBE.

Output
energy of formation	-0.90	eV/f.u.
DOS(E_F)	1.257	states/eV per atom
mass density	8.53	g/cm³

Unit cell a=3.2650 b=3.2650 c=6.3396 alpha=90.00 beta=90.00 gamma=90.00
Last column: nearest neighbours and their distance in Å.
Space group P4mm (No. 99)
Asymmetric unit:
1 Hf 0.0000 0.0000 0.0000 x1  4 V 2.84, 4 Ga 2.93, 1 Ti 3.03
2 Ti 0.0000 0.0000 0.4774 x1  4 V 2.69, 4 Ga 2.75
3 V 0.5000 0.5000 0.2597 x1  4 Ti 2.69, 4 Hf 2.84, 1 Ga 2.88
4 Ga 0.5000 0.5000 0.7144 x1  4 Ti 2.75, 1 V 2.88, 4 Hf 2.93

---

(9)
HfTi2GaW: relaxed, PBE.

Output
energy of formation	8.58	eV/f.u.
DOS(E_F)	1.239	states/eV per atom
mass density	8.21	g/cm³

Unit cell a=4.6460 b=4.6460 c=4.9448 alpha=90.00 beta=90.00 gamma=90.00
Last column: nearest neighbours and their distance in Å.
Space group P4/mmm (No. 123)
Asymmetric unit:
1 Hf 0.0000 0.0000 0.0000 x1  4 Ti 2.32, 2 Ga 2.47
2 Ti 0.0000 0.5000 0.0000 x2  2 Hf 2.32
3 Ga 0.0000 0.0000 0.5000 x1  2 Hf 2.47
4 W 0.5000 0.5000 0.5000 x1  4 Ga 3.29, 8 Ti 3.39

---

(10)
Y2HfTiGa: relaxed, PBE.

Output
energy of formation	3.61	eV/f.u.
DOS(E_F)	1.674	states/eV per atom
mass density	6.00	g/cm³

Unit cell a=5.1189 b=5.1189 c=5.0053 alpha=90.00 beta=90.00 gamma=90.00
Last column: nearest neighbours and their distance in Å.
Space group P4/mmm (No. 123)
Asymmetric unit:
1 Y 0.0000 0.5000 0.0000 x2  2 Ti 2.56
2 Hf 0.0000 0.0000 0.5000 x1  8 Y 3.58, 4 Ga 3.62
3 Ti 0.5000 0.5000 0.0000 x1  2 Ga 2.50, 4 Y 2.56
4 Ga 0.5000 0.5000 0.5000 x1  2 Ti 2.50

---

(11)
HfTiZnGa: relaxed, PBE.

Output
energy of formation	-1.01	eV/f.u.
DOS(E_F)	0.915	states/eV per atom
mass density	8.82	g/cm³

Unit cell a=6.4815 b=6.4815 c=6.4815 alpha=90.00 beta=90.00 gamma=90.00
Last column: nearest neighbours and their distance in Å.
Space group F-43m (No. 216)
Asymmetric unit:
1 Hf 0.0000 0.0000 0.0000 x4  4 Zn 2.81, 4 Ga 2.81
2 Ti 0.0000 0.0000 0.5000 x4  4 Zn 2.81, 4 Ga 2.81
3 Zn 0.2500 0.2500 0.2500 x4  4 Hf 2.81, 4 Ti 2.81
4 Ga 0.2500 0.2500 0.7500 x4  4 Hf 2.81, 4 Ti 2.81

---

(12)
HfTiZnGa: relaxed, PBE.

Output
energy of formation	-1.24	eV/f.u.
DOS(E_F)	1.156	states/eV per atom
mass density	8.86	g/cm³

Unit cell a=4.1783 b=4.1783 c=7.7620 alpha=90.00 beta=90.00 gamma=90.00
Last column: nearest neighbours and their distance in Å.
Space group I-4m2 (No. 119)
Asymmetric unit:
1 Hf 0.0000 0.0000 0.0000 x2  4 Zn 2.85, 4 Ga 2.85, 4 Ti 2.95
2 Ti 0.0000 0.0000 0.5000 x2  4 Zn 2.85, 4 Ga 2.85, 4 Hf 2.95
3 Zn 0.0000 0.5000 0.7500 x2  4 Hf 2.85, 4 Ti 2.85, 4 Ga 2.95
4 Ga 0.0000 0.5000 0.2500 x2  4 Hf 2.85, 4 Ti 2.85, 4 Zn 2.95

---

V / Å³/cell: 68, 67, 135, 137, 110, 68, 135, 68, 107, 131, 272, 136